Record 1
An optimized crystal structure of Zr2CoF, computed with GGA+U.

a = 6.8271 Å, b = 6.8271 Å, c = 6.8271 Å
α = 136.11°, β = 136.11°, γ = 63.81°
Positions (direct):
Zr  0.1033  0.6250  0.9783
Zr  0.3750  0.3533  0.4783
Zr  0.6467  0.1250  0.0217
Zr  0.8750  0.8967  0.5217
Co  0.2500  0.7500  0.5000
Co  0.5000  0.5000  0.0000
F  0.0000  0.0000  0.0000
F  0.7500  0.2500  0.5000

Calculated values
Energy above the most stable polymorph in this dataset, meV per atom: 0
Density, g/cm³: 5.73
Spin magnetization, μB/cell: 0.00



Record 2
An optimized crystal structure of ZrCo3F, computed with GGA+U.

a = 4.1779 Å, b = 4.1779 Å, c = 4.1779 Å
α = 90.00°, β = 90.00°, γ = 90.00°
Positions (direct):
Zr  0.0000  0.0000  0.0000
Co  0.0000  0.5000  0.5000
Co  0.5000  0.0000  0.5000
Co  0.5000  0.5000  0.0000
F  0.5000  0.5000  0.5000

Calculated values
Energy above the most stable polymorph in this dataset, meV per atom: 0
Density, g/cm³: 6.54
Spin magnetization, μB/cell: 4.04



Record 3
An optimized crystal structure of Zr3CoF, computed with GGA+U.

a = 4.4977 Å, b = 4.4977 Å, c = 4.4977 Å
α = 90.00°, β = 90.00°, γ = 90.00°
Positions (direct):
Zr  0.0000  0.0000  0.5000
Zr  0.0000  0.5000  0.0000
Zr  0.5000  0.0000  0.0000
Co  0.5000  0.5000  0.5000
F  0.0000  0.0000  0.0000

Calculated values
Energy above the most stable polymorph in this dataset, meV per atom: 0
Density, g/cm³: 6.42
Spin magnetization, μB/cell: 1.96



Question: Among the records above, which one has the lowest density?
Answer: Zr2CoF



What did the second record say?
An optimized crystal structure of ZrCo3F, computed with GGA+U.

a = 4.1779 Å, b = 4.1779 Å, c = 4.1779 Å
α = 90.00°, β = 90.00°, γ = 90.00°
Positions (direct):
Zr  0.0000  0.0000  0.0000
Co  0.0000  0.5000  0.5000
Co  0.5000  0.0000  0.5000
Co  0.5000  0.5000  0.0000
F  0.5000  0.5000  0.5000

Calculated values
Energy above the most stable polymorph in this dataset, meV per atom: 0
Density, g/cm³: 6.54
Spin magnetization, μB/cell: 4.04



Question: What is the spin magnetization in the second record?
Answer: 4.04 μB/cell